1.
The following is a PBE calculation of a relaxed MnBeS3 crystal, from Alexandria.

Computed properties:
Size of the total moment, μB per cell: 3.3
DOS(E_F), states/eV/atom: 0.669
Formation energy from raw total energies, meV/atom: 559
E above lowest polymorph, eV per formula unit: 0.00
Space-group type: Pm-3m (221)

```
data_MnBeS3
_chemical_formula_sum 'Mn1 Be1 S3'
_cell_length_a 4.506
_cell_length_b 4.506
_cell_length_c 4.506
_cell_angle_alpha 90.00
_cell_angle_beta 90.00
_cell_angle_gamma 90.00
_space_group_name_H-M_alt 'P 1'
_space_group_IT_number 1
loop_
_space_group_symop_operation_xyz
'x,y,z'
loop_
_atom_site_label
_atom_site_type_symbol
_atom_site_fract_x
_atom_site_fract_y
_atom_site_fract_z
_atom_site_occupancy
Mn1 Mn 0.000 0.000 0.000 1
S1 S 0.000 0.000 0.500 1
S2 S 0.500 0.000 0.000 1
Be1 Be 0.500 0.500 0.500 1
S3 S 0.000 0.500 0.000 1
```

2.
The following is a PBE calculation of a relaxed Sr2MnBeS crystal, from Alexandria.

Computed properties:
Size of the total moment, μB per cell: 4.2
DOS(E_F), states/eV/atom: 1.168
Formation energy from raw total energies, meV/atom: 286
Space-group type: P4/mmm (123)

```
data_Sr2MnBeS
_chemical_formula_sum 'Sr2 Mn1 Be1 S1'
_cell_length_a 6.093
_cell_length_b 3.866
_cell_length_c 6.093
_cell_angle_alpha 90.00
_cell_angle_beta 90.00
_cell_angle_gamma 90.00
_space_group_name_H-M_alt 'P 1'
_space_group_IT_number 1
loop_
_space_group_symop_operation_xyz
'x,y,z'
loop_
_atom_site_label
_atom_site_type_symbol
_atom_site_fract_x
_atom_site_fract_y
_atom_site_fract_z
_atom_site_occupancy
Sr1 Sr 0.500 0.000 0.000 1
S1 S 0.000 0.500 0.000 1
Mn1 Mn 0.500 0.500 0.500 1
Be1 Be 0.000 0.000 0.000 1
Sr2 Sr 0.000 0.000 0.500 1
```

3.
The following is a PBE calculation of a relaxed SrMn2BeS crystal, from Alexandria.

Computed properties:
Size of the total moment, μB per cell: 0.0
DOS(E_F), states/eV/atom: 0.991
Formation energy from raw total energies, meV/atom: 562
Space-group type: P4/mmm (123)

```
data_SrMn2BeS
_chemical_formula_sum 'Sr1 Mn2 Be1 S1'
_cell_length_a 4.272
_cell_length_b 4.410
_cell_length_c 4.272
_cell_angle_alpha 90.00
_cell_angle_beta 90.00
_cell_angle_gamma 90.00
_space_group_name_H-M_alt 'P 1'
_space_group_IT_number 1
loop_
_space_group_symop_operation_xyz
'x,y,z'
loop_
_atom_site_label
_atom_site_type_symbol
_atom_site_fract_x
_atom_site_fract_y
_atom_site_fract_z
_atom_site_occupancy
Mn1 Mn 0.500 0.000 0.000 1
S1 S 0.000 0.000 0.000 1
Mn2 Mn 0.000 0.000 0.500 1
Sr1 Sr 0.500 0.500 0.500 1
Be1 Be 0.000 0.500 0.000 1
```

4.
The following is a PBE calculation of a relaxed MnBeTlS2 crystal, from Alexandria.

Computed properties:
Size of the total moment, μB per cell: 5.3
DOS(E_F), states/eV/atom: 1.117
Formation energy from raw total energies, meV/atom: 1413
Space-group type: P4/mmm (123)

```
data_MnBeTlS2
_chemical_formula_sum 'Mn1 Be1 Tl1 S2'
_cell_length_a 5.190
_cell_length_b 5.234
_cell_length_c 5.190
_cell_angle_alpha 90.00
_cell_angle_beta 90.00
_cell_angle_gamma 90.00
_space_group_name_H-M_alt 'P 1'
_space_group_IT_number 1
loop_
_space_group_symop_operation_xyz
'x,y,z'
loop_
_atom_site_label
_atom_site_type_symbol
_atom_site_fract_x
_atom_site_fract_y
_atom_site_fract_z
_atom_site_occupancy
S1 S 0.500 0.000 0.000 1
S2 S 0.000 0.000 0.500 1
Tl1 Tl 0.000 0.000 0.000 1
Mn1 Mn 0.000 0.500 0.000 1
Be1 Be 0.500 0.500 0.500 1
```

5.
The following is a PBE calculation of a relaxed MnBeVS4 crystal, from Alexandria.

Computed properties:
Size of the total moment, μB per cell: 10.1
DOS(E_F), states/eV/atom: 0.535
Formation energy from raw total energies, meV/atom: -771
Space-group type: Imma (74)

```
data_MnBeVS4
_chemical_formula_sum 'Mn2 Be2 V2 S8'
_cell_length_a 6.727
_cell_length_b 6.839
_cell_length_c 6.839
_cell_angle_alpha 60.35
_cell_angle_beta 60.54
_cell_angle_gamma 60.54
_space_group_name_H-M_alt 'P 1'
_space_group_IT_number 1
loop_
_space_group_symop_operation_xyz
'x,y,z'
loop_
_atom_site_label
_atom_site_type_symbol
_atom_site_fract_x
_atom_site_fract_y
_atom_site_fract_z
_atom_site_occupancy
S1 S 0.752 0.752 0.252 1
Be1 Be 0.373 0.377 0.877 1
V1 V 0.500 0.000 0.500 1
Mn1 Mn 0.000 0.500 0.500 1
Be2 Be 0.627 0.623 0.123 1
S2 S 0.246 0.755 0.753 1
Mn2 Mn 0.000 0.000 0.000 1
S3 S 0.248 0.248 0.748 1
S4 S 0.754 0.245 0.247 1
S5 S 0.245 0.752 0.252 1
V2 V 0.000 0.000 0.500 1
S6 S 0.754 0.747 0.745 1
S7 S 0.755 0.248 0.748 1
S8 S 0.246 0.253 0.255 1
```

6.
The following is a PBE calculation of a relaxed YMnBeS2 crystal, from Alexandria.

Computed properties:
Size of the total moment, μB per cell: 4.9
DOS(E_F), states/eV/atom: 0.604
Formation energy from raw total energies, meV/atom: 680
Space-group type: P4/mmm (123)

```
data_YMnBeS2
_chemical_formula_sum 'Y1 Mn1 Be1 S2'
_cell_length_a 5.135
_cell_length_b 6.024
_cell_length_c 5.135
_cell_angle_alpha 90.00
_cell_angle_beta 90.00
_cell_angle_gamma 90.00
_space_group_name_H-M_alt 'P 1'
_space_group_IT_number 1
loop_
_space_group_symop_operation_xyz
'x,y,z'
loop_
_atom_site_label
_atom_site_type_symbol
_atom_site_fract_x
_atom_site_fract_y
_atom_site_fract_z
_atom_site_occupancy
S1 S 0.500 0.000 0.000 1
Y1 Y 0.000 0.000 0.000 1
Mn1 Mn 0.000 0.500 0.000 1
Be1 Be 0.500 0.500 0.500 1
S2 S 0.000 0.000 0.500 1
```

7.
The following is a PBE calculation of a relaxed Mn2BeSb crystal, from Alexandria.

Computed properties:
Size of the total moment, μB per cell: 3.0
DOS(E_F), states/eV/atom: 0.353
Formation energy from raw total energies, meV/atom: 302
E above lowest polymorph, eV per formula unit: 0.63
Space-group type: F-43m (216)

```
data_Mn2BeSb
_chemical_formula_sum 'Mn2 Be1 Sb1'
_cell_length_a 4.205
_cell_length_b 4.205
_cell_length_c 4.205
_cell_angle_alpha 60.00
_cell_angle_beta 60.00
_cell_angle_gamma 60.00
_space_group_name_H-M_alt 'P 1'
_space_group_IT_number 1
loop_
_space_group_symop_operation_xyz
'x,y,z'
loop_
_atom_site_label
_atom_site_type_symbol
_atom_site_fract_x
_atom_site_fract_y
_atom_site_fract_z
_atom_site_occupancy
Sb1 Sb 0.750 0.750 0.750 1
Mn1 Mn 0.000 0.000 0.000 1
Mn2 Mn 0.250 0.250 0.250 1
Be1 Be 0.500 0.500 0.500 1
```

8.
The following is a PBE calculation of a relaxed Mn2BeSb crystal, from Alexandria.

Computed properties:
Size of the total moment, μB per cell: 5.1
DOS(E_F), states/eV/atom: 0.714
Formation energy from raw total energies, meV/atom: 288
E above lowest polymorph, eV per formula unit: 0.57
Space-group type: P2/m (10)

```
data_Mn2BeSb
_chemical_formula_sum 'Mn2 Be1 Sb1'
_cell_length_a 3.591
_cell_length_b 2.912
_cell_length_c 5.994
_cell_angle_alpha 64.01
_cell_angle_beta 90.00
_cell_angle_gamma 90.00
_space_group_name_H-M_alt 'P 1'
_space_group_IT_number 1
loop_
_space_group_symop_operation_xyz
'x,y,z'
loop_
_atom_site_label
_atom_site_type_symbol
_atom_site_fract_x
_atom_site_fract_y
_atom_site_fract_z
_atom_site_occupancy
Be1 Be 0.500 0.750 0.750 1
Mn1 Mn 0.000 0.998 0.974 1
Mn2 Mn 0.000 0.502 0.526 1
Sb1 Sb 0.500 0.250 0.250 1
```

9.
The following is a PBE calculation of a relaxed Mn2BeSb crystal, from Alexandria.

Computed properties:
Size of the total moment, μB per cell: 2.6
DOS(E_F), states/eV/atom: 0.816
Formation energy from raw total energies, meV/atom: 253
E above lowest polymorph, eV per formula unit: 0.43
Space-group type: Fm-3m (225)

```
data_Mn2BeSb
_chemical_formula_sum 'Mn2 Be1 Sb1'
_cell_length_a 4.162
_cell_length_b 4.162
_cell_length_c 4.162
_cell_angle_alpha 60.00
_cell_angle_beta 60.00
_cell_angle_gamma 60.00
_space_group_name_H-M_alt 'P 1'
_space_group_IT_number 1
loop_
_space_group_symop_operation_xyz
'x,y,z'
loop_
_atom_site_label
_atom_site_type_symbol
_atom_site_fract_x
_atom_site_fract_y
_atom_site_fract_z
_atom_site_occupancy
Mn1 Mn 0.250 0.250 0.250 1
Sb1 Sb 0.500 0.500 0.500 1
Be1 Be 0.000 0.000 0.000 1
Mn2 Mn 0.750 0.750 0.750 1
```

10.
The following is a PBE calculation of a relaxed Mn2Be2Sb crystal, from Alexandria.

Computed properties:
Size of the total moment, μB per cell: 2.4
DOS(E_F), states/eV/atom: 0.370
Formation energy from raw total energies, meV/atom: 161
Space-group type: P4/mbm (127)

```
data_Mn2Be2Sb
_chemical_formula_sum 'Mn4 Be4 Sb2'
_cell_length_a 6.094
_cell_length_b 6.094
_cell_length_c 3.034
_cell_angle_alpha 90.00
_cell_angle_beta 90.00
_cell_angle_gamma 90.00
_space_group_name_H-M_alt 'P 1'
_space_group_IT_number 1
loop_
_space_group_symop_operation_xyz
'x,y,z'
loop_
_atom_site_label
_atom_site_type_symbol
_atom_site_fract_x
_atom_site_fract_y
_atom_site_fract_z
_atom_site_occupancy
Mn1 Mn 0.829 0.329 0.500 1
Be1 Be 0.884 0.616 0.000 1
Mn2 Mn 0.671 0.829 0.500 1
Mn3 Mn 0.329 0.171 0.500 1
Be2 Be 0.116 0.384 0.000 1
Mn4 Mn 0.171 0.671 0.500 1
Be3 Be 0.384 0.884 0.000 1
Sb1 Sb 0.500 0.500 0.000 1
Be4 Be 0.616 0.116 0.000 1
Sb2 Sb 0.000 0.000 0.000 1
```

11.
The following is a PBE calculation of a relaxed MnBe2Sb crystal, from Alexandria.

Computed properties:
Size of the total moment, μB per cell: 1.6
DOS(E_F), states/eV/atom: 0.749
Formation energy from raw total energies, meV/atom: 587
Space-group type: F-43m (216)

```
data_MnBe2Sb
_chemical_formula_sum 'Mn1 Be2 Sb1'
_cell_length_a 4.197
_cell_length_b 4.197
_cell_length_c 4.197
_cell_angle_alpha 60.00
_cell_angle_beta 60.00
_cell_angle_gamma 60.00
_space_group_name_H-M_alt 'P 1'
_space_group_IT_number 1
loop_
_space_group_symop_operation_xyz
'x,y,z'
loop_
_atom_site_label
_atom_site_type_symbol
_atom_site_fract_x
_atom_site_fract_y
_atom_site_fract_z
_atom_site_occupancy
Mn1 Mn 0.500 0.500 0.500 1
Be1 Be 0.250 0.250 0.250 1
Sb1 Sb 0.750 0.750 0.750 1
Be2 Be 0.000 0.000 0.000 1
```

12.
The following is a PBE calculation of a relaxed Mn2BeSb crystal, from Alexandria.

Computed properties:
Size of the total moment, μB per cell: 6.2
DOS(E_F), states/eV/atom: 0.616
Formation energy from raw total energies, meV/atom: 315
E above lowest polymorph, eV per formula unit: 0.68
Space-group type: Cmmm (65)

```
data_Mn2BeSb
_chemical_formula_sum 'Mn2 Be1 Sb1'
_cell_length_a 2.905
_cell_length_b 2.905
_cell_length_c 7.038
_cell_angle_alpha 90.00
_cell_angle_beta 90.00
_cell_angle_gamma 90.11
_space_group_name_H-M_alt 'P 1'
_space_group_IT_number 1
loop_
_space_group_symop_operation_xyz
'x,y,z'
loop_
_atom_site_label
_atom_site_type_symbol
_atom_site_fract_x
_atom_site_fract_y
_atom_site_fract_z
_atom_site_occupancy
Sb1 Sb 0.500 0.500 0.250 1
Be1 Be 0.500 0.500 0.750 1
Mn1 Mn 0.000 0.000 0.937 1
Mn2 Mn 0.000 0.000 0.563 1
```